The following is a DFT calculation (PBE) of an optimized crystal structure of CaTm2Hg3.

a b c (Å): 3.686 3.686 11.267
angles (deg): 90.00 90.00 90.00
Fractional positions:
Ca 0.500 0.500 0.500
Tm 0.500 0.500 0.837
Tm 0.500 0.500 0.163
Hg 0.000 0.000 0.000
Hg 0.000 0.000 0.680
Hg 0.000 0.000 0.320

theoretical density: 10.6 g cm⁻³
VASP energy: -2.49 eV/atom